[1]
PrGdGaGe after structural relaxation, computed with PBE-GGA.

For the formation energy, the calculation gives -13.219 kcal/mol of atoms.

The space group is F-43m (No. 216) and the conventional cell measures 7.335, 7.335 and 7.335 Å, with angles of 90.00, 90.00 and 90.00 degrees. The asymmetric unit holds Pr at (0.000, 0.000, 0.000), Gd at (0.000, 0.000, 0.500), Ga at (0.250, 0.250, 0.750) and Ge at (0.250, 0.250, 0.250).


[2]
GdPuGaGe after structural relaxation, computed with PBE-GGA.

For the formation energy, the calculation gives -10.730 kcal/mol of atoms.

The space group is F-43m (No. 216) and the conventional cell measures 7.171, 7.171 and 7.171 Å, with angles of 90.00, 90.00 and 90.00 degrees. The asymmetric unit holds Gd at (0.000, 0.000, 0.000), Pu at (0.000, 0.000, 0.500), Ga at (0.250, 0.250, 0.750) and Ge at (0.250, 0.250, 0.250).


[3]
Gd3GaH after structural relaxation, computed with PBE-GGA.

The calculation puts the electronic total energy at -10.0983 eV per atom.

The space group is Pm-3m (No. 221) and the conventional cell measures 4.792, 4.792 and 4.792 Å, with angles of 90.00, 90.00 and 90.00 degrees. The asymmetric unit holds Gd at (0.000, 0.000, 0.500), Ga at (0.500, 0.500, 0.500) and H at (0.000, 0.000, 0.000).


[4]
GdGa2H6 after structural relaxation, computed with PBE-GGA.

The calculation puts the electronic total energy at -3.9850 eV per atom.

The space group is Fm-3m (No. 225) and the conventional cell measures 7.441, 7.441 and 7.441 Å, with angles of 90.00, 90.00 and 90.00 degrees. The asymmetric unit holds Gd at (0.000, 0.000, 0.000), Ga at (0.250, 0.250, 0.250) and H at (0.000, 0.000, 0.281).


[5]
GdHfGa after structural relaxation, computed with PBE-GGA.

Its energy above the lowest structure with this stoichiometry is 0.126 eV/atom. For the formation energy, the calculation gives -2.523 kcal/mol of atoms.

The space group is P3m1 (No. 156) and the conventional cell measures 4.8106, 4.8106 and 3.5656 Å, with angles of 90.00, 90.00 and 120.00 degrees. The asymmetric unit holds Gd at (0.0000, 0.0000, 0.0000), Hf at (0.6667, 0.3333, 0.4993) and Ga at (0.3333, 0.6667, 0.5027).


[6]
GdHfGa2 after structural relaxation, computed with PBE-GGA.

Its energy above the lowest structure with this stoichiometry is 0.153 eV/atom. For the formation energy, the calculation gives -6.367 kcal/mol of atoms.

The space group is R-3m (No. 166, hexagonal axes) and the conventional cell measures 3.4892, 3.4892 and 25.4901 Å, with angles of 90.00, 90.00 and 120.00 degrees. The asymmetric unit holds Gd at (0.0000, 0.0000, 0.0000), Hf at (0.0000, 0.0000, 0.5000) and Ga at (0.0000, 0.0000, 0.2451).